CrGaAu2 | PBE | optimized geometry

CIF file:
```
data_CrGaAu2
_cell_length_a 3.932
_cell_length_b 3.932
_cell_length_c 19.020
_cell_angle_alpha 90.00
_cell_angle_beta 90.00
_cell_angle_gamma 90.00
_space_group_name_H-M_alt 'I -4 2 d'
_space_group_IT_number 122
_space_group_name_Hall 'I -4 2bw'
loop_
_atom_site_label
_atom_site_fract_x
_atom_site_fract_y
_atom_site_fract_z
Cr1 0.000 0.000 0.000
Ga1 0.000 0.000 0.500
Au1 0.249 0.250 0.625
```

## Properties
calculated formation energy = 0.8 eV/f.u.
N(E_F) = 6.03 states/eV per cell

Cr2Ga2Au | PBE | optimized geometry

CIF file:
```
data_Cr2Ga2Au
_cell_length_a 6.872
_cell_length_b 6.872
_cell_length_c 3.162
_cell_angle_alpha 90.00
_cell_angle_beta 90.00
_cell_angle_gamma 90.00
_space_group_name_H-M_alt 'P 4/m b m'
_space_group_IT_number 127
_space_group_name_Hall '-P 4 2ab'
loop_
_atom_site_label
_atom_site_fract_x
_atom_site_fract_y
_atom_site_fract_z
Cr1 0.105 0.395 0.000
Ga1 0.188 0.688 0.500
Au1 0.000 0.000 0.000
```

## Properties
calculated formation energy = 0.7 eV/f.u.
ΔE to the lowest computed polymorph = 0.022 eV/atom
N(E_F) = 6.46 states/eV per cell

CrGa2Au4 | PBE | optimized geometry

CIF file:
```
data_CrGa2Au4
_cell_length_a 5.066
_cell_length_b 5.066
_cell_length_c 12.806
_cell_angle_alpha 90.00
_cell_angle_beta 90.00
_cell_angle_gamma 90.00
_space_group_name_H-M_alt 'I 4/m m m'
_space_group_IT_number 139
_space_group_name_Hall '-I 4 2'
loop_
_atom_site_label
_atom_site_fract_x
_atom_site_fract_y
_atom_site_fract_z
Cr1 0.000 0.000 0.000
Ga1 0.000 0.000 0.395
Au1 0.000 0.000 0.203
Au2 0.000 0.500 0.000
```

## Properties
calculated formation energy = 2.7 eV/f.u.
N(E_F) = 7.79 states/eV per cell

CrGaAu2 | PBE | optimized geometry

CIF file:
```
data_CrGaAu2
_cell_length_a 4.265
_cell_length_b 4.265
_cell_length_c 3.724
_cell_angle_alpha 90.00
_cell_angle_beta 90.00
_cell_angle_gamma 90.00
_space_group_name_H-M_alt 'P 4/m m m'
_space_group_IT_number 123
_space_group_name_Hall '-P 4 2'
loop_
_atom_site_label
_atom_site_fract_x
_atom_site_fract_y
_atom_site_fract_z
Cr1 0.000 0.000 0.000
Ga1 0.500 0.500 0.000
Au1 0.000 0.500 0.500
```

## Properties
calculated formation energy = -0.1 eV/f.u.
N(E_F) = 1.37 states/eV per cell

Cr2Ga2Au | PBE | optimized geometry

CIF file:
```
data_Cr2Ga2Au
_cell_length_a 7.110
_cell_length_b 7.110
_cell_length_c 3.073
_cell_angle_alpha 90.00
_cell_angle_beta 90.00
_cell_angle_gamma 90.00
_space_group_name_H-M_alt 'P 4/m b m'
_space_group_IT_number 127
_space_group_name_Hall '-P 4 2ab'
loop_
_atom_site_label
_atom_site_fract_x
_atom_site_fract_y
_atom_site_fract_z
Cr1 0.160 0.340 0.000
Ga1 0.137 0.637 0.500
Au1 0.000 0.000 0.500
```

## Properties
calculated formation energy = 0.5 eV/f.u.
ΔE to the lowest computed polymorph = 0.000 eV/atom
N(E_F) = 5.59 states/eV per cell

CrGa3Au | PBE | optimized geometry

CIF file:
```
data_CrGa3Au
_cell_length_a 4.755
_cell_length_b 4.755
_cell_length_c 4.755
_cell_angle_alpha 90.00
_cell_angle_beta 90.00
_cell_angle_gamma 90.00
_space_group_name_H-M_alt 'P m -3 m'
_space_group_IT_number 221
_space_group_name_Hall '-P 4 2 3'
loop_
_atom_site_label
_atom_site_fract_x
_atom_site_fract_y
_atom_site_fract_z
Cr1 0.000 0.000 0.000
Ga1 0.000 0.000 0.500
Au1 0.500 0.500 0.500
```

## Properties
calculated formation energy = 2.3 eV/f.u.
ΔE to the lowest computed polymorph = 0.000 eV/atom
N(E_F) = 2.79 states/eV per cell

CrGaAu3 | PBE | optimized geometry

CIF file:
```
data_CrGaAu3
_cell_length_a 4.839
_cell_length_b 4.839
_cell_length_c 4.839
_cell_angle_alpha 90.00
_cell_angle_beta 90.00
_cell_angle_gamma 90.00
_space_group_name_H-M_alt 'P m -3 m'
_space_group_IT_number 221
_space_group_name_Hall '-P 4 2 3'
loop_
_atom_site_label
_atom_site_fract_x
_atom_site_fract_y
_atom_site_fract_z
Cr1 0.000 0.000 0.000
Ga1 0.500 0.500 0.500
Au1 0.000 0.500 0.500
```

## Properties
calculated formation energy = 2.6 eV/f.u.
ΔE to the lowest computed polymorph = 0.000 eV/atom
N(E_F) = 2.44 states/eV per cell

CrGaAu2 | PBE | optimized geometry

CIF file:
```
data_CrGaAu2
_cell_length_a 3.435
_cell_length_b 3.435
_cell_length_c 5.869
_cell_angle_alpha 90.00
_cell_angle_beta 90.00
_cell_angle_gamma 90.00
_space_group_name_H-M_alt 'P 4/m m m'
_space_group_IT_number 123
_space_group_name_Hall '-P 4 2'
loop_
_atom_site_label
_atom_site_fract_x
_atom_site_fract_y
_atom_site_fract_z
Cr1 0.000 0.000 0.000
Ga1 0.000 0.000 0.500
Au1 0.500 0.500 0.248
```

## Properties
calculated formation energy = 0.1 eV/f.u.
N(E_F) = 2.15 states/eV per cell

CrGaAu | PBE | optimized geometry

CIF file:
```
data_CrGaAu
_cell_length_a 3.478
_cell_length_b 3.478
_cell_length_c 8.384
_cell_angle_alpha 90.00
_cell_angle_beta 90.00
_cell_angle_gamma 90.00
_space_group_name_H-M_alt 'I 4 m m'
_space_group_IT_number 107
_space_group_name_Hall 'I 4 -2'
loop_
_atom_site_label
_atom_site_fract_x
_atom_site_fract_y
_atom_site_fract_z
Cr1 0.000 0.000 0.000
Ga1 0.000 0.000 0.333
Au1 0.000 0.000 0.667
```

## Properties
calculated formation energy = 0.3 eV/f.u.
N(E_F) = 2.62 states/eV per cell

CrGa2Au2 | PBE | optimized geometry

CIF file:
```
data_CrGa2Au2
_cell_length_a 7.215
_cell_length_b 7.215
_cell_length_c 3.159
_cell_angle_alpha 90.00
_cell_angle_beta 90.00
_cell_angle_gamma 90.00
_space_group_name_H-M_alt 'P 4/m b m'
_space_group_IT_number 127
_space_group_name_Hall '-P 4 2ab'
loop_
_atom_site_label
_atom_site_fract_x
_atom_site_fract_y
_atom_site_fract_z
Cr1 0.000 0.000 0.000
Ga1 0.145 0.355 0.000
Au1 0.157 0.657 0.500
```

## Properties
calculated formation energy = 1.5 eV/f.u.
N(E_F) = 6.29 states/eV per cell

LiCrGaAu | PBE | optimized geometry

CIF file:
```
data_LiCrGaAu
_cell_length_a 6.195
_cell_length_b 6.195
_cell_length_c 6.195
_cell_angle_alpha 90.00
_cell_angle_beta 90.00
_cell_angle_gamma 90.00
_space_group_name_H-M_alt 'F -4 3 m'
_space_group_IT_number 216
_space_group_name_Hall 'F -4 2 3'
loop_
_atom_site_label
_atom_site_fract_x
_atom_site_fract_y
_atom_site_fract_z
Li1 0.000 0.000 0.000
Cr1 0.250 0.250 0.250
Ga1 0.000 0.000 0.500
Au1 0.250 0.250 0.750
```

## Properties
calculated formation energy = -0.6 eV/f.u.
N(E_F) = 7.53 states/eV per cell

NaCrGaAu2 | PBE | optimized geometry

CIF file:
```
data_NaCrGaAu2
_cell_length_a 5.075
_cell_length_b 5.075
_cell_length_c 5.220
_cell_angle_alpha 90.00
_cell_angle_beta 90.00
_cell_angle_gamma 90.00
_space_group_name_H-M_alt 'P 4/m m m'
_space_group_IT_number 123
_space_group_name_Hall '-P 4 2'
loop_
_atom_site_label
_atom_site_fract_x
_atom_site_fract_y
_atom_site_fract_z
Na1 0.000 0.000 0.000
Cr1 0.000 0.000 0.500
Ga1 0.500 0.500 0.000
Au1 0.000 0.500 0.500
```

## Properties
calculated formation energy = 3.2 eV/f.u.
N(E_F) = 2.33 states/eV per cell